1.
# Ce2In2Sn (PBE, relaxed)
# distance to the lowest polymorph of the same formula	0	meV per atom
data_Ce2In2Sn
_chemical_formula_sum 'Ce4 In4 Sn2'
_cell_length_a 7.761
_cell_length_b 7.761
_cell_length_c 4.766
_cell_angle_alpha 90.00
_cell_angle_beta 90.00
_cell_angle_gamma 90.00
_symmetry_space_group_name_H-M 'P 4/m b m'
_symmetry_Int_Tables_number 127
_symmetry_space_group_name_Hall '-P 4 2ab'
loop_
_atom_site_label
_atom_site_type_symbol
_atom_site_fract_x
_atom_site_fract_y
_atom_site_fract_z
Ce1 Ce 0.170 0.330 0.000
In1 In 0.131 0.631 0.500
Sn1 Sn 0.000 0.000 0.500

***

2.
# RbCdBi2Cl (PBE, relaxed)
# ΔE_f (raw)	72	meV per atom
data_RbCdBi2Cl
_chemical_formula_sum 'Rb1 Cd1 Bi2 Cl1'
_cell_length_a 5.643
_cell_length_b 5.643
_cell_length_c 6.013
_cell_angle_alpha 90.00
_cell_angle_beta 90.00
_cell_angle_gamma 90.00
_symmetry_space_group_name_H-M 'P 4/m m m'
_symmetry_Int_Tables_number 123
_symmetry_space_group_name_Hall '-P 4 2'
loop_
_atom_site_label
_atom_site_type_symbol
_atom_site_fract_x
_atom_site_fract_y
_atom_site_fract_z
Rb1 Rb 0.000 0.000 0.000
Cd1 Cd 0.500 0.500 0.000
Bi1 Bi 0.000 0.500 0.500
Cl1 Cl 0.000 0.000 0.500

***

3.
# Ac2Mg4TlHg3 (PBE, relaxed)
# uncorrected energy	-21.0	eV per cell
data_Ac2Mg4TlHg3
_chemical_formula_sum 'Ac2 Mg4 Tl1 Hg3'
_cell_length_a 4.890
_cell_length_b 4.890
_cell_length_c 11.353
_cell_angle_alpha 90.00
_cell_angle_beta 90.00
_cell_angle_gamma 90.00
_symmetry_space_group_name_H-M 'P -4 m 2'
_symmetry_Int_Tables_number 115
loop_
_symmetry_equiv_pos_as_xyz
'x,y,z'
'y,-x,-z'
'-x,-y,z'
'-y,x,-z'
'-x,y,z'
'-y,-x,-z'
'x,-y,z'
'y,x,-z'
loop_
_atom_site_label
_atom_site_type_symbol
_atom_site_fract_x
_atom_site_fract_y
_atom_site_fract_z
Ac1 Ac 0.000 0.500 0.246
Mg1 Mg 0.000 0.000 0.500
Mg2 Mg 0.000 0.500 0.866
Mg3 Mg 0.500 0.500 0.500
Tl1 Tl 0.500 0.500 0.000
Hg1 Hg 0.000 0.000 0.000
Hg2 Hg 0.000 0.500 0.629

***

4.
# SrLuIr4 (PBE, relaxed)
# uncorrected energy	-178.8	eV per cell
data_SrLuIr4
_chemical_formula_sum 'Sr4 Lu4 Ir16'
_cell_length_a 7.627
_cell_length_b 7.627
_cell_length_c 7.627
_cell_angle_alpha 90.00
_cell_angle_beta 90.00
_cell_angle_gamma 90.00
_symmetry_space_group_name_H-M 'F -4 3 m'
_symmetry_Int_Tables_number 216
_symmetry_space_group_name_Hall 'F -4 2 3'
loop_
_atom_site_label
_atom_site_type_symbol
_atom_site_fract_x
_atom_site_fract_y
_atom_site_fract_z
Sr1 Sr 0.000 0.000 0.000
Lu1 Lu 0.250 0.250 0.250
Ir1 Ir 0.125 0.125 0.625

***

5.
# Er3Tl3SbSe8 (PBE, relaxed)
# ΔE_f (raw)	-1127	meV per atom
data_Er3Tl3SbSe8
_chemical_formula_sum 'Er9 Tl9 Sb3 Se24'
_cell_length_a 8.2528
_cell_length_b 8.2528
_cell_length_c 23.3762
_cell_angle_alpha 90.00
_cell_angle_beta 90.00
_cell_angle_gamma 120.00
_symmetry_space_group_name_H-M 'R -3 m'
_symmetry_Int_Tables_number 166
_symmetry_space_group_name_Hall '-R 3 2"'
loop_
_atom_site_label
_atom_site_type_symbol
_atom_site_fract_x
_atom_site_fract_y
_atom_site_fract_z
Er1 Er 0.0000 0.5000 0.0000
Tl1 Tl 0.0000 0.5000 0.5000
Sb1 Sb 0.0000 0.0000 0.0000
Se1 Se 0.0000 0.0000 0.2655
Se2 Se 0.0020 0.5010 0.7334

***

6.
# KPa2AgSe8 (PBE, relaxed)
# ΔE_f (raw)	-710	meV per atom
data_KPa2AgSe8
_chemical_formula_sum 'K1 Pa2 Ag1 Se8'
_cell_length_a 6.3737
_cell_length_b 6.3737
_cell_length_c 9.2316
_cell_angle_alpha 90.00
_cell_angle_beta 90.00
_cell_angle_gamma 120.00
_symmetry_space_group_name_H-M 'P -3 m 1'
_symmetry_Int_Tables_number 164
_symmetry_space_group_name_Hall '-P 3 2"'
loop_
_atom_site_label
_atom_site_type_symbol
_atom_site_fract_x
_atom_site_fract_y
_atom_site_fract_z
K1 K 0.0000 0.0000 0.0000
Pa1 Pa 0.3333 0.6667 0.3871
Ag1 Ag 0.0000 0.0000 0.5000
Se1 Se 0.1827 0.3655 0.6702
Se2 Se 0.3333 0.6667 0.1084

***

7.
# Be3OsPb (PBE, relaxed)
# distance to the lowest polymorph of the same formula	1544	meV per atom
data_Be3OsPb
_chemical_formula_sum 'Be3 Os1 Pb1'
_cell_length_a 4.483
_cell_length_b 4.483
_cell_length_c 4.483
_cell_angle_alpha 90.00
_cell_angle_beta 90.00
_cell_angle_gamma 90.00
_symmetry_space_group_name_H-M 'P m -3 m'
_symmetry_Int_Tables_number 221
_symmetry_space_group_name_Hall '-P 4 2 3'
loop_
_atom_site_label
_atom_site_type_symbol
_atom_site_fract_x
_atom_site_fract_y
_atom_site_fract_z
Be1 Be 0.000 0.000 0.500
Os1 Os 0.500 0.500 0.500
Pb1 Pb 0.000 0.000 0.000

***

8.
# SiSO (PBE, relaxed)
# distance to the lowest polymorph of the same formula	0	meV per atom
# ΔE_f (raw)	-1416	meV per atom
data_SiSO
_chemical_formula_sum 'Si4 S4 O4'
_cell_length_a 6.681
_cell_length_b 5.941
_cell_length_c 5.147
_cell_angle_alpha 90.00
_cell_angle_beta 108.33
_cell_angle_gamma 90.00
_symmetry_space_group_name_H-M 'P 1 21/c 1'
_symmetry_Int_Tables_number 14
loop_
_symmetry_equiv_pos_as_xyz
'x,y,z'
'-x,-y,-z'
'-x,y+1/2,-z+1/2'
'x,-y+1/2,z+1/2'
loop_
_atom_site_label
_atom_site_type_symbol
_atom_site_fract_x
_atom_site_fract_y
_atom_site_fract_z
Si1 Si 0.010 0.123 0.235
S1 S 0.232 0.102 0.671
O1 O 0.117 0.638 0.636

***

9.
# SrAc4Tb (PBE, relaxed)
# distance to the lowest polymorph of the same formula	0	meV per atom
data_SrAc4Tb
_chemical_formula_sum 'Sr1 Ac4 Tb1'
_cell_length_a 3.991
_cell_length_b 3.991
_cell_length_c 16.542
_cell_angle_alpha 90.00
_cell_angle_beta 90.00
_cell_angle_gamma 90.00
_symmetry_space_group_name_H-M 'P 4/m m m'
_symmetry_Int_Tables_number 123
_symmetry_space_group_name_Hall '-P 4 2'
loop_
_atom_site_label
_atom_site_type_symbol
_atom_site_fract_x
_atom_site_fract_y
_atom_site_fract_z
Sr1 Sr 0.000 0.000 0.000
Ac1 Ac 0.000 0.000 0.350
Ac2 Ac 0.500 0.500 0.187
Tb1 Tb 0.500 0.500 0.500

***

10.
# In3Ir (PBE, relaxed)
# uncorrected energy	-17.6	eV per cell
data_In3Ir
_chemical_formula_sum 'In3 Ir1'
_cell_length_a 5.190
_cell_length_b 5.190
_cell_length_c 5.190
_cell_angle_alpha 90.00
_cell_angle_beta 90.00
_cell_angle_gamma 90.00
_symmetry_space_group_name_H-M 'P m -3 m'
_symmetry_Int_Tables_number 221
_symmetry_space_group_name_Hall '-P 4 2 3'
loop_
_atom_site_label
_atom_site_type_symbol
_atom_site_fract_x
_atom_site_fract_y
_atom_site_fract_z
In1 In 0.000 0.000 0.500
Ir1 Ir 0.000 0.000 0.000

***

11.
# Sm8Ge3Se4O (PBE, relaxed)
# ΔE_f (raw)	-1575	meV per atom
data_Sm8Ge3Se4O
_chemical_formula_sum 'Sm16 Ge6 Se8 O2'
_cell_length_a 14.294
_cell_length_b 8.250
_cell_length_c 8.342
_cell_angle_alpha 90.00
_cell_angle_beta 124.82
_cell_angle_gamma 90.00
_symmetry_space_group_name_H-M 'C 1 2/m 1'
_symmetry_Int_Tables_number 12
loop_
_symmetry_equiv_pos_as_xyz
'x,y,z'
'-x,-y,-z'
'-x,y,-z'
'x,-y,z'
'x+1/2,y+1/2,z'
'-x+1/2,-y+1/2,-z'
'-x+1/2,y+1/2,-z'
'x+1/2,-y+1/2,z'
loop_
_atom_site_label
_atom_site_type_symbol
_atom_site_fract_x
_atom_site_fract_y
_atom_site_fract_z
Sm1 Sm 0.004 0.241 0.272
Sm2 Sm 0.238 0.000 0.730
Sm3 Sm 0.248 0.500 0.743
Ge1 Ge 0.000 0.500 0.500
Ge2 Ge 0.250 0.250 0.500
Se1 Se 0.000 0.000 0.000
Se2 Se 0.000 0.500 0.000
Se3 Se 0.250 0.250 0.000
O1 O 0.000 0.000 0.500

***

12.
# YTa2SbP (PBE, relaxed)
# ΔE_f (raw)	1486	meV per atom
data_YTa2SbP
_chemical_formula_sum 'Y1 Ta2 Sb1 P1'
_cell_length_a 5.028
_cell_length_b 5.028
_cell_length_c 5.641
_cell_angle_alpha 90.00
_cell_angle_beta 90.00
_cell_angle_gamma 90.00
_symmetry_space_group_name_H-M 'P 4/m m m'
_symmetry_Int_Tables_number 123
_symmetry_space_group_name_Hall '-P 4 2'
loop_
_atom_site_label
_atom_site_type_symbol
_atom_site_fract_x
_atom_site_fract_y
_atom_site_fract_z
Y1 Y 0.000 0.000 0.000
Ta1 Ta 0.000 0.500 0.500
Sb1 Sb 0.000 0.000 0.500
P1 P 0.500 0.500 0.000

***

13.
# Cd2In3Sn2Hg4 (PBE, relaxed)
# uncorrected energy	-18.6	eV per cell
data_Cd2In3Sn2Hg4
_chemical_formula_sum 'Cd2 In3 Sn2 Hg4'
_cell_length_a 4.8847
_cell_length_b 4.8847
_cell_length_c 14.6273
_cell_angle_alpha 90.00
_cell_angle_beta 90.00
_cell_angle_gamma 120.00
_symmetry_space_group_name_H-M 'P -3 m 1'
_symmetry_Int_Tables_number 164
_symmetry_space_group_name_Hall '-P 3 2"'
loop_
_atom_site_label
_atom_site_type_symbol
_atom_site_fract_x
_atom_site_fract_y
_atom_site_fract_z
Cd1 Cd 0.3333 0.6667 0.1496
In1 In 0.0000 0.0000 0.0000
In2 In 0.0000 0.0000 0.2611
Sn1 Sn 0.3333 0.6667 0.5655
Hg1 Hg 0.3333 0.6667 0.3535
Hg2 Hg 0.3333 0.6667 0.9028

***

14.
# NiAu2Cl (PBE, relaxed)
# distance to the lowest polymorph of the same formula	345	meV per atom
# ΔE_f (raw)	390	meV per atom
data_NiAu2Cl
_chemical_formula_sum 'Ni1 Au2 Cl1'
_cell_length_a 3.105
_cell_length_b 4.384
_cell_length_c 5.410
_cell_angle_alpha 90.00
_cell_angle_beta 90.00
_cell_angle_gamma 90.00
_symmetry_space_group_name_H-M 'P m m m'
_symmetry_Int_Tables_number 47
loop_
_symmetry_equiv_pos_as_xyz
'x,y,z'
'-x,-y,-z'
'-x,-y,z'
'x,y,-z'
'x,-y,-z'
'-x,y,z'
'-x,y,-z'
'x,-y,z'
loop_
_atom_site_label
_atom_site_type_symbol
_atom_site_fract_x
_atom_site_fract_y
_atom_site_fract_z
Ni1 Ni 0.000 0.000 0.000
Au1 Au 0.000 0.500 0.500
Au2 Au 0.500 0.000 0.500
Cl1 Cl 0.500 0.500 0.000

***

15.
# TbPrH (PBE, relaxed)
# distance to the lowest polymorph of the same formula	93	meV per atom
data_TbPrH
_chemical_formula_sum 'Tb2 Pr2 H2'
_cell_length_a 3.471
_cell_length_b 3.471
_cell_length_c 12.318
_cell_angle_alpha 90.00
_cell_angle_beta 90.00
_cell_angle_gamma 90.00
_symmetry_space_group_name_H-M 'I 4 m m'
_symmetry_Int_Tables_number 107
_symmetry_space_group_name_Hall 'I 4 -2'
loop_
_atom_site_label
_atom_site_type_symbol
_atom_site_fract_x
_atom_site_fract_y
_atom_site_fract_z
Tb1 Tb 0.000 0.000 0.000
Pr1 Pr 0.000 0.000 0.711
H1 H 0.000 0.000 0.181

***

16.
# BaHg12Au4 (PBE, relaxed)
# uncorrected energy	-39.9	eV per cell
data_BaHg12Au4
_chemical_formula_sum 'Ba2 Hg24 Au8'
_cell_length_a 9.922
_cell_length_b 9.922
_cell_length_c 9.922
_cell_angle_alpha 90.00
_cell_angle_beta 90.00
_cell_angle_gamma 90.00
_symmetry_space_group_name_H-M 'I m -3'
_symmetry_Int_Tables_number 204
_symmetry_space_group_name_Hall '-I 2 2 3'
loop_
_atom_site_label
_atom_site_type_symbol
_atom_site_fract_x
_atom_site_fract_y
_atom_site_fract_z
Ba1 Ba 0.000 0.000 0.000
Hg1 Hg 0.000 0.156 0.349
Au1 Au 0.250 0.250 0.250

***

17.
# MgAlC3 (PBE, relaxed)
# distance to the lowest polymorph of the same formula	890	meV per atom
data_MgAlC3
_chemical_formula_sum 'Mg1 Al1 C3'
_cell_length_a 4.057
_cell_length_b 4.057
_cell_length_c 4.057
_cell_angle_alpha 90.00
_cell_angle_beta 90.00
_cell_angle_gamma 90.00
_symmetry_space_group_name_H-M 'P m -3 m'
_symmetry_Int_Tables_number 221
_symmetry_space_group_name_Hall '-P 4 2 3'
loop_
_atom_site_label
_atom_site_type_symbol
_atom_site_fract_x
_atom_site_fract_y
_atom_site_fract_z
Mg1 Mg 0.000 0.000 0.000
Al1 Al 0.500 0.500 0.500
C1 C 0.000 0.000 0.500

***

18.
# MnMo2Ru (PBE, relaxed)
# distance to the lowest polymorph of the same formula	20	meV per atom
data_MnMo2Ru
_chemical_formula_sum 'Mn1 Mo2 Ru1'
_cell_length_a 3.133
_cell_length_b 3.133
_cell_length_c 5.994
_cell_angle_alpha 90.00
_cell_angle_beta 90.00
_cell_angle_gamma 90.00
_symmetry_space_group_name_H-M 'P 4 m m'
_symmetry_Int_Tables_number 99
loop_
_symmetry_equiv_pos_as_xyz
'x,y,z'
'-y,x,z'
'-x,-y,z'
'y,-x,z'
'-x,y,z'
'y,x,z'
'x,-y,z'
'-y,-x,z'
loop_
_atom_site_label
_atom_site_type_symbol
_atom_site_fract_x
_atom_site_fract_y
_atom_site_fract_z
Mn1 Mn 0.000 0.000 0.000
Mo1 Mo 0.000 0.000 0.496
Mo2 Mo 0.500 0.500 0.232
Ru1 Ru 0.500 0.500 0.748

***

19.
# MnSi2Pb (PBE, relaxed)
# ΔE_f (raw)	617	meV per atom
data_MnSi2Pb
_chemical_formula_sum 'Mn2 Si4 Pb2'
_cell_length_a 5.487
_cell_length_b 7.673
_cell_length_c 3.689
_cell_angle_alpha 90.00
_cell_angle_beta 90.00
_cell_angle_gamma 90.00
_symmetry_space_group_name_H-M 'C m m m'
_symmetry_Int_Tables_number 65
_symmetry_space_group_name_Hall '-C 2 2'
loop_
_atom_site_label
_atom_site_type_symbol
_atom_site_fract_x
_atom_site_fract_y
_atom_site_fract_z
Mn1 Mn 0.000 0.000 0.000
Si1 Si 0.250 0.250 0.500
Pb1 Pb 0.000 0.500 0.000

***

20.
# BaLi3Ir (PBE, relaxed)
# distance to the lowest polymorph of the same formula	0	meV per atom
data_BaLi3Ir
_chemical_formula_sum 'Ba8 Li24 Ir8'
_cell_length_a 14.151
_cell_length_b 10.475
_cell_length_c 6.550
_cell_angle_alpha 90.00
_cell_angle_beta 104.02
_cell_angle_gamma 90.00
_symmetry_space_group_name_H-M 'C 1 2/c 1'
_symmetry_Int_Tables_number 15
loop_
_symmetry_equiv_pos_as_xyz
'x,y,z'
'-x,-y,-z'
'-x,y,-z+1/2'
'x,-y,z+1/2'
'x+1/2,y+1/2,z'
'-x+1/2,-y+1/2,-z'
'-x+1/2,y+1/2,-z+1/2'
'x+1/2,-y+1/2,z+1/2'
loop_
_atom_site_label
_atom_site_type_symbol
_atom_site_fract_x
_atom_site_fract_y
_atom_site_fract_z
Ba1 Ba 0.000 0.077 0.250
Ba2 Ba 0.000 0.367 0.750
Li1 Li 0.188 0.184 0.096
Li2 Li 0.192 0.499 0.096
Li3 Li 0.200 0.181 0.589
Ir1 Ir 0.093 0.339 0.291

***

21.
# ReHgBr2 (PBE, relaxed)
# distance to the lowest polymorph of the same formula	337	meV per atom
# ΔE_f (raw)	628	meV per atom
data_ReHgBr2
_chemical_formula_sum 'Re2 Hg2 Br4'
_cell_length_a 3.284
_cell_length_b 5.982
_cell_length_c 9.828
_cell_angle_alpha 90.00
_cell_angle_beta 90.00
_cell_angle_gamma 90.00
_symmetry_space_group_name_H-M 'C m m 2'
_symmetry_Int_Tables_number 35
loop_
_symmetry_equiv_pos_as_xyz
'x,y,z'
'-x,-y,z'
'-x,y,z'
'x,-y,z'
'x+1/2,y+1/2,z'
'-x+1/2,-y+1/2,z'
'-x+1/2,y+1/2,z'
'x+1/2,-y+1/2,z'
loop_
_atom_site_label
_atom_site_type_symbol
_atom_site_fract_x
_atom_site_fract_y
_atom_site_fract_z
Re1 Re 0.000 0.000 0.000
Hg1 Hg 0.000 0.500 0.230
Br1 Br 0.000 0.000 0.455
Br2 Br 0.000 0.500 0.807

***

22.
# Sm2YScTe4 (PBE, relaxed)
# ΔE_f (raw)	-1286	meV per atom
data_Sm2YScTe4
_chemical_formula_sum 'Sm2 Y1 Sc1 Te4'
_cell_length_a 7.521
_cell_length_b 4.312
_cell_length_c 7.636
_cell_angle_alpha 90.00
_cell_angle_beta 108.91
_cell_angle_gamma 90.00
_symmetry_space_group_name_H-M 'P 1 2/m 1'
_symmetry_Int_Tables_number 10
loop_
_symmetry_equiv_pos_as_xyz
'x,y,z'
'-x,-y,-z'
'-x,y,-z'
'x,-y,z'
loop_
_atom_site_label
_atom_site_type_symbol
_atom_site_fract_x
_atom_site_fract_y
_atom_site_fract_z
Sm1 Sm 0.000 0.000 0.000
Sm2 Sm 0.500 0.500 0.000
Y1 Y 0.000 0.500 0.500
Sc1 Sc 0.500 0.000 0.500
Te1 Te 0.253 0.000 0.738
Te2 Te 0.263 0.500 0.267

***

23.
# Pr7NdZn4 (PBE, relaxed)
# uncorrected energy	-87.1	eV per cell
data_Pr7NdZn4
_chemical_formula_sum 'Pr14 Nd2 Zn8'
_cell_length_a 14.252
_cell_length_b 5.765
_cell_length_c 10.272
_cell_angle_alpha 90.00
_cell_angle_beta 123.40
_cell_angle_gamma 90.00
_symmetry_space_group_name_H-M 'C 1 2/m 1'
_symmetry_Int_Tables_number 12
loop_
_symmetry_equiv_pos_as_xyz
'x,y,z'
'-x,-y,-z'
'-x,y,-z'
'x,-y,z'
'x+1/2,y+1/2,z'
'-x+1/2,-y+1/2,-z'
'-x+1/2,y+1/2,-z'
'x+1/2,-y+1/2,z'
loop_
_atom_site_label
_atom_site_type_symbol
_atom_site_fract_x
_atom_site_fract_y
_atom_site_fract_z
Pr1 Pr 0.000 0.000 0.000
Pr2 Pr 0.068 0.500 0.397
Pr3 Pr 0.205 0.500 0.878
Pr4 Pr 0.217 0.000 0.662
Nd1 Nd 0.000 0.500 0.000
Zn1 Zn 0.043 0.000 0.744
Zn2 Zn 0.178 0.000 0.337

***

| no. | calculated volume (Å³/f.u.) |
| --- | --- |
| 1 | 144 |
| 2 | 191 |
| 3 | 272 |
| 4 | 111 |
| 5 | 460 |
| 6 | 325 |
| 7 | 90 |
| 8 | 48 |
| 9 | 263 |
| 10 | 140 |
| 11 | 404 |
| 12 | 143 |
| 13 | 302 |
| 14 | 74 |
| 15 | 74 |
| 16 | 488 |
| 17 | 67 |
| 18 | 59 |
| 19 | 78 |
| 20 | 118 |
| 21 | 97 |
| 22 | 234 |
| 23 | 352 |